Entry 1:
Entry from Alexandria via LeMat-Bulk: an optimized crystal structure of CsErSeS (PBE).

Cell: 4.1380 4.1382 8.6344 Å, 90.01 103.86 120.00°
Last column: nearest neighbours and their distance in Å.
Fractional coordinates of all 4 atoms:
1 Cs 0.9695 0.3830 0.3674  3 Se 3.54, 3 S 3.59
2 Er 0.2976 0.5467 0.8597  3 S 2.77, 3 Se 2.88
3 Se 0.0931 0.9445 0.0528  3 Er 2.88
4 S 0.5177 0.1567 0.6898  3 Er 2.77

Properties
Formation energy (no corrections) ... -676 kJ/mol of formula units
Final energy ... -5.0090 eV/atom

Entry 2:
Entry from Alexandria via LeMat-Bulk: an optimized crystal structure of Cs2ErSiS4 (PBE).

Cell: 6.5315 7.9212 13.3336 Å, 84.20 75.82 65.65°
Last column: nearest neighbours and their distance in Å.
Fractional coordinates of all 16 atoms:
1 Cs 0.1784 0.0000 0.6432  6 S 3.85-4.12
2 Cs 0.8216 0.0000 0.3568  6 S 3.85-4.12
3 Cs 0.5716 0.5000 0.8568  6 S 3.85-4.12
4 Cs 0.9284 0.5000 0.1432  6 S 3.85-4.12
5 Er 0.7500 0.5000 0.5000  4 S 2.59
6 Er 0.0000 0.0000 0.0000  4 S 2.59
7 Si 0.2500 0.5000 0.5000  4 S 2.19
8 Si 0.5000 0.0000 0.0000  4 S 2.19
9 S 0.3349 0.8268 0.0925  1 Si 2.19
10 S 0.2541 0.1732 0.9075  1 Si 2.19
11 S 0.8384 0.8268 0.9075  1 Si 2.19
12 S 0.5727 0.1732 0.0925  1 Si 2.19
13 S 0.4151 0.6732 0.4075  1 Si 2.19
14 S 0.4959 0.3268 0.5925  1 Si 2.19
15 S 0.9116 0.6732 0.5925  1 Si 2.19
16 S 0.1773 0.3268 0.4075  1 Si 2.19

Properties
Formation energy (no corrections) ... -902 kJ/mol of formula units
Final energy ... -4.6935 eV/atom

Entry 3:
Entry from Alexandria via LeMat-Bulk: an optimized crystal structure of Cs2ErSi2S6 (PBE).

Cell: 7.2363 7.2370 7.9578 Å, 117.07 90.00 120.00°
Last column: nearest neighbours and their distance in Å.
Fractional coordinates of all 11 atoms:
1 Cs 0.7267 0.4535 0.2102  9 S 3.57-3.76
2 Cs 0.2733 0.5465 0.7898  9 S 3.57-3.76
3 Er 0.5000 0.0000 0.5000  6 S 2.70-2.72
4 Si 0.9449 0.8899 0.8053  3 S 2.09-2.10
5 Si 0.0551 0.1101 0.1947  3 S 2.09-2.10
6 S 0.7533 0.5065 0.7037  1 Si 2.09
7 S 0.2262 0.9630 0.2351  1 Si 2.10
8 S 0.2632 0.0370 0.7649  1 Si 2.10
9 S 0.7738 0.0370 0.7649  1 Si 2.10
10 S 0.7368 0.9630 0.2351  1 Si 2.10
11 S 0.2467 0.4935 0.2963  1 Si 2.09

Properties
Formation energy (no corrections) ... -1133 kJ/mol of formula units
Final energy ... -4.8746 eV/atom

Entry 4:
Entry from Alexandria via LeMat-Bulk: an optimized crystal structure of Cs3SmEr2S6 (PBE).

Cell: 7.1256 7.1256 8.4106 Å, 98.12 98.12 120.00°
Last column: nearest neighbours and their distance in Å.
Fractional coordinates of all 12 atoms:
1 Cs 0.1656 0.8344 0.5000  6 S 3.47-3.52
2 Cs 0.8344 0.1656 0.5000  6 S 3.47-3.52
3 Cs 0.5000 0.5000 0.5000  6 S 3.46-3.52
4 Sm 0.0000 0.0000 0.0000  6 S 2.83-2.84
5 Er 0.3333 0.6667 0.0000  6 S 2.77
6 Er 0.6667 0.3333 0.0000  6 S 2.77
7 S 0.9394 0.5986 0.8182  2 Er 2.77, 1 Sm 2.84
8 S 0.7197 0.7197 0.1813  2 Er 2.77, 1 Sm 2.83
9 S 0.0606 0.4014 0.1818  2 Er 2.77, 1 Sm 2.84
10 S 0.5986 0.9394 0.8182  2 Er 2.77, 1 Sm 2.84
11 S 0.2803 0.2803 0.8187  2 Er 2.77, 1 Sm 2.83
12 S 0.4014 0.0606 0.1818  2 Er 2.77, 1 Sm 2.84

Properties
Formation energy (no corrections) ... -2113 kJ/mol of formula units
Final energy ... -5.2558 eV/atom

Number 1: magnetization 0.000 μB/atom. Number 2: magnetization 0.000 μB/atom. Number 3: magnetization 0.072 μB/atom. Number 4: magnetization 0.000 μB/atom.